The following is a DFT calculation (PBE+U) of an optimized crystal structure of Rb2NiIO6.

Lattice parameters (Å, degrees): 6.2330 6.2330 5.2446 90.00 90.00 120.00
Sites, in units of the cell vectors:
1 Rb 0.3333 0.6667 0.2714
2 Rb 0.6667 0.3333 0.7286
3 Ni 0.0000 0.0000 0.5000
4 I 0.0000 0.0000 0.0000
5 O 0.1374 0.2747 0.7701
6 O 0.1374 0.8626 0.7701
7 O 0.2747 0.1374 0.2299
8 O 0.7253 0.8626 0.7701
9 O 0.8626 0.1374 0.2299
10 O 0.8626 0.7253 0.2299

The total magnetization is 0.097 μB/atom. As for the crystal system: trigonal. For the energy, the calculation gives -44.74 eV for the cell shown.